No. 1
LiGaFe2Pd4 after structural relaxation, computed with GGA-PBE.

Geometry as POSCAR:
```
LiGaFe2Pd4
1.0
4.319 0.000 0.000
0.000 4.319 0.000
0.000 0.000 6.066
Li Ga Fe Pd
1 1 2 4
Cartesian
0.000 0.000 0.000 Li
2.160 2.160 3.033 Ga
0.000 0.000 3.033 Fe
2.160 2.160 0.000 Fe
0.000 2.160 1.501 Pd
0.000 2.160 4.565 Pd
2.160 0.000 1.501 Pd
2.160 0.000 4.565 Pd
```

Summary:
Space-group type: No. 123
Total moment in μB per formula unit: 6.78

No. 2
Li4Ga2FePd after structural relaxation, computed with GGA-PBE.

Geometry as POSCAR:
```
Li4Ga2FePd
1.0
4.207 0.000 0.000
0.000 4.207 0.000
0.000 0.000 6.090
Li Ga Fe Pd
4 2 1 1
Cartesian
0.000 0.000 0.000 Li
0.000 2.103 4.557 Li
2.103 0.000 1.533 Li
2.103 2.103 3.045 Li
0.000 2.103 1.436 Ga
2.103 0.000 4.654 Ga
2.103 2.103 0.000 Fe
0.000 0.000 3.045 Pd
```

Summary:
Space-group type: No. 115
Total moment in μB per formula unit: 1.94

No. 3
Li2Zn2Ga2FePd after structural relaxation, computed with GGA-PBE.

Geometry as POSCAR:
```
Li2Zn2Ga2FePd
1.0
4.230 0.000 0.000
0.000 4.230 0.000
0.000 0.000 6.103
Li Zn Ga Fe Pd
2 2 2 1 1
Cartesian
0.000 0.000 0.000 Li
2.115 2.115 3.051 Li
0.000 2.115 4.501 Zn
2.115 0.000 1.602 Zn
0.000 2.115 1.618 Ga
2.115 0.000 4.485 Ga
0.000 0.000 3.051 Fe
2.115 2.115 0.000 Pd
```

Summary:
Space-group type: No. 115
Total moment in μB per formula unit: 1.82

No. 4
Li2Zr2Ga2FePd after structural relaxation, computed with GGA-PBE.

Geometry as POSCAR:
```
Li2Zr2Ga2FePd
1.0
4.407 0.000 0.000
0.000 4.407 0.000
0.000 0.000 6.311
Li Zr Ga Fe Pd
2 2 2 1 1
Cartesian
0.000 0.000 0.000 Li
2.203 2.203 3.156 Li
0.000 2.203 4.641 Zr
2.203 0.000 1.670 Zr
0.000 2.203 1.689 Ga
2.203 0.000 4.622 Ga
0.000 0.000 3.156 Fe
2.203 2.203 0.000 Pd
```

Summary:
Space-group type: No. 115
Total moment in μB per formula unit: 1.65

No. 5
LiGaFe2Pt4 after structural relaxation, computed with GGA-PBE.

Geometry as POSCAR:
```
LiGaFe2Pt4
1.0
4.483 0.000 0.000
0.000 4.483 0.000
0.000 0.000 5.671
Li Ga Fe Pt
1 1 2 4
Cartesian
0.000 0.000 0.000 Li
2.241 2.241 2.835 Ga
0.000 0.000 2.835 Fe
2.241 2.241 0.000 Fe
0.000 2.241 1.398 Pt
0.000 2.241 4.273 Pt
2.241 0.000 1.398 Pt
2.241 0.000 4.273 Pt
```

Summary:
Space-group type: No. 123
Total moment in μB per formula unit: 7.23

No. 6
Li4Ga2FePt after structural relaxation, computed with GGA-PBE.

Geometry as POSCAR:
```
Li4Ga2FePt
1.0
4.197 0.000 0.000
0.000 4.197 0.000
0.000 0.000 6.064
Li Ga Fe Pt
4 2 1 1
Cartesian
0.000 0.000 0.000 Li
0.000 2.099 4.538 Li
2.099 0.000 1.527 Li
2.099 2.099 3.032 Li
0.000 2.099 1.446 Ga
2.099 0.000 4.618 Ga
2.099 2.099 0.000 Fe
0.000 0.000 3.032 Pt
```

Summary:
Space-group type: No. 115
Total moment in μB per formula unit: 1.92

No. 7
Li2Zn2Ga2FePt after structural relaxation, computed with GGA-PBE.

Geometry as POSCAR:
```
Li2Zn2Ga2FePt
1.0
4.229 0.000 0.000
0.000 4.229 0.000
0.000 0.000 6.087
Li Zn Ga Fe Pt
2 2 2 1 1
Cartesian
0.000 0.000 0.000 Li
2.115 2.115 3.044 Li
0.000 2.115 4.491 Zn
2.115 0.000 1.596 Zn
0.000 2.115 1.605 Ga
2.115 0.000 4.482 Ga
0.000 0.000 3.044 Fe
2.115 2.115 0.000 Pt
```

Summary:
Space-group type: No. 115
Total moment in μB per formula unit: 1.81

No. 8
LiGaFeTe after structural relaxation, computed with GGA-PBE.

Geometry as POSCAR:
```
LiGaFeTe
1.0
0.000 3.129 3.129
3.129 0.000 3.129
3.129 3.129 0.000
Li Ga Fe Te
1 1 1 1
Cartesian
0.000 0.000 0.000 Li
4.694 4.694 4.694 Ga
3.129 3.129 3.129 Fe
1.565 1.565 1.565 Te
```

Summary:
Space-group type: No. 216
Total moment in μB per formula unit: 0.01

No. 9
LiGaFeTe after structural relaxation, computed with GGA-PBE.

Geometry as POSCAR:
```
LiGaFeTe
1.0
0.000 3.354 3.354
3.354 0.000 3.354
3.354 3.354 0.000
Li Ga Fe Te
1 1 1 1
Cartesian
0.000 0.000 0.000 Li
3.354 3.354 3.354 Ga
5.031 5.031 5.031 Fe
1.677 1.677 1.677 Te
```

Summary:
Space-group type: No. 216
Total moment in μB per formula unit: 2.36

No. 10
LiGaFeW after structural relaxation, computed with GGA-PBE.

Geometry as POSCAR:
```
LiGaFeW
1.0
0.000 2.915 2.915
2.915 0.000 2.915
2.915 2.915 0.000
Li Ga Fe W
1 1 1 1
Cartesian
0.000 0.000 0.000 Li
1.457 1.457 1.457 Ga
2.915 2.915 2.915 Fe
4.372 4.372 4.372 W
```

Summary:
Space-group type: No. 216
Total moment in μB per formula unit: 0.00

No. 11
LiGaFeW after structural relaxation, computed with GGA-PBE.

Geometry as POSCAR:
```
LiGaFeW
1.0
0.000 2.995 2.995
2.995 0.000 2.995
2.995 2.995 0.000
Li Ga Fe W
1 1 1 1
Cartesian
0.000 0.000 0.000 Li
2.995 2.995 2.995 Ga
4.493 4.493 4.493 Fe
1.498 1.498 1.498 W
```

Summary:
Space-group type: No. 216
Total moment in μB per formula unit: 3.07

No. 12
LiYGaFe after structural relaxation, computed with GGA-PBE.

Geometry as POSCAR:
```
LiYGaFe
1.0
0.000 3.204 3.204
3.204 0.000 3.204
3.204 3.204 0.000
Li Y Ga Fe
1 1 1 1
Cartesian
0.000 0.000 0.000 Li
4.806 4.806 4.806 Y
1.602 1.602 1.602 Ga
3.204 3.204 3.204 Fe
```

Summary:
Space-group type: No. 216
Total moment in μB per formula unit: 2.61

Number 1: E_tot -5.574 eV/atom. Number 2: E_tot -3.689 eV/atom. Number 3: E_tot -3.556 eV/atom. Number 4: E_tot -5.483 eV/atom. Number 5: E_tot -6.108 eV/atom. Number 6: E_tot -3.846 eV/atom. Number 7: E_tot -3.703 eV/atom. Number 8: E_tot -4.076 eV/atom. Number 9: E_tot -3.813 eV/atom. Number 10: E_tot -6.621 eV/atom. Number 11: E_tot -6.090 eV/atom. Number 12: E_tot -4.981 eV/atom.